No. 1
# K4LaBr

K4LaBr after structural relaxation (PBE-GGA, Alexandria via LeMat-Bulk).

Raw formation energy   0.188 eV/atom
M_tot   0.264 μB/atom
Theoretical density   1.83 g/cm3

Cell and atoms, written as CIF:
```
data_K4LaBr
_symmetry_space_group_name_H-M 'F -4 3 m'
_symmetry_Int_Tables_number 216
_symmetry_space_group_name_Hall 'F -4 2 3'
_cell_length_a 11.093
_cell_length_b 11.093
_cell_length_c 11.093
_cell_angle_alpha 90.00
_cell_angle_beta 90.00
_cell_angle_gamma 90.00
loop_
_atom_site_label
_atom_site_fract_x
_atom_site_fract_y
_atom_site_fract_z
K1 0.124 0.124 0.376
La1 0.000 0.000 0.000
Br1 0.250 0.250 0.750
```



No. 2
# NiAgAu

NiAgAu after structural relaxation (PBE-GGA, Alexandria via LeMat-Bulk).

Offset from the most stable computed form   0.093 eV/atom
M_tot   0.002 μB/atom
Theoretical density   12.87 g/cm3

Cell and atoms, written as CIF:
```
data_NiAgAu
_symmetry_space_group_name_H-M 'I m m 2'
_symmetry_Int_Tables_number 44
_cell_length_a 2.851
_cell_length_b 3.755
_cell_length_c 8.764
_cell_angle_alpha 90.00
_cell_angle_beta 90.00
_cell_angle_gamma 90.00
loop_
_symmetry_equiv_pos_as_xyz
'x,y,z'
'-x,-y,z'
'-x,y,z'
'x,-y,z'
'x+1/2,y+1/2,z+1/2'
'-x+1/2,-y+1/2,z+1/2'
'-x+1/2,y+1/2,z+1/2'
'x+1/2,-y+1/2,z+1/2'
loop_
_atom_site_label
_atom_site_fract_x
_atom_site_fract_y
_atom_site_fract_z
Ni1 0.000 0.000 0.000
Ag1 0.000 0.000 0.664
Au1 0.000 0.000 0.347
```



No. 3
# La4NdNi

La4NdNi after structural relaxation (PBE-GGA, Alexandria via LeMat-Bulk).

DFT total energy   -5.10 eV/atom
M_tot   0.000 μB/atom
Theoretical density   6.30 g/cm3

Cell and atoms, written as CIF:
```
data_La4NdNi
_symmetry_space_group_name_H-M 'C 1 2/c 1'
_symmetry_Int_Tables_number 15
_cell_length_a 17.503
_cell_length_b 6.650
_cell_length_c 7.216
_cell_angle_alpha 90.00
_cell_angle_beta 107.80
_cell_angle_gamma 90.00
loop_
_symmetry_equiv_pos_as_xyz
'x,y,z'
'-x,-y,-z'
'-x,y,-z+1/2'
'x,-y,z+1/2'
'x+1/2,y+1/2,z'
'-x+1/2,-y+1/2,-z'
'-x+1/2,y+1/2,-z+1/2'
'x+1/2,-y+1/2,z+1/2'
loop_
_atom_site_label
_atom_site_fract_x
_atom_site_fract_y
_atom_site_fract_z
La1 0.097 0.093 0.023
La2 0.187 0.405 0.631
Nd1 0.000 0.455 0.250
Ni1 0.250 0.250 0.000
```



No. 4
# Sc4CSeS2

Sc4CSeS2 after structural relaxation (PBE-GGA, Alexandria via LeMat-Bulk).

Raw formation energy   -1.524 eV/atom
M_tot   0.000 μB/atom
Theoretical density   4.01 g/cm3

Cell and atoms, written as CIF:
```
data_Sc4CSeS2
_symmetry_space_group_name_H-M 'P 1 2/m 1'
_symmetry_Int_Tables_number 10
_cell_length_a 6.305
_cell_length_b 3.603
_cell_length_c 6.458
_cell_angle_alpha 90.00
_cell_angle_beta 109.06
_cell_angle_gamma 90.00
loop_
_symmetry_equiv_pos_as_xyz
'x,y,z'
'-x,-y,-z'
'-x,y,-z'
'x,-y,z'
loop_
_atom_site_label
_atom_site_fract_x
_atom_site_fract_y
_atom_site_fract_z
Sc1 0.218 0.000 0.211
Sc2 0.234 0.500 0.787
C1 0.000 0.500 0.000
Se1 0.000 0.000 0.500
S1 0.500 0.000 0.000
S2 0.500 0.500 0.500
```



Question: The highest theoretical density belongs to which entry?
Answer: NiAgAu